[1]
VASP calculation (GGA+U) on an optimized crystal structure of MnGa2O4.

a b c (Å): 6.067 6.067 6.067
angles (deg): 60.00 60.00 60.00
Positions (direct):
Mn 0.125 0.125 0.125
Mn 0.875 0.875 0.875
Ga 0.000 0.500 0.500
Ga 0.500 0.000 0.500
Ga 0.500 0.500 0.000
Ga 0.500 0.500 0.500
O 0.264 0.264 0.264
O 0.264 0.264 0.708
O 0.264 0.708 0.264
O 0.292 0.736 0.736
O 0.708 0.264 0.264
O 0.736 0.292 0.736
O 0.736 0.736 0.292
O 0.736 0.736 0.736

Summary:
Size of the total moment, μB/f.u.: 5.00
Final energy, eV/atom: -6.60
SG: Fd-3m (227)

---

[2]
VASP calculation (GGA+U) on an optimized crystal structure of MnGaOsO2.

a b c (Å): 3.863 3.863 5.474
angles (deg): 90.00 90.00 90.00
Positions (direct):
Mn 0.000 0.000 0.000
Ga 0.500 0.500 0.500
Os 0.500 0.500 0.000
O 0.000 0.500 0.500
O 0.500 0.000 0.500

Summary:
N(E_F), states/eV per cell: 4.353
Size of the total moment, μB/f.u.: 1.98
Final energy, eV/atom: -5.90
SG: P4/mmm (123)

---

[3]
VASP calculation (GGA+U) on an optimized crystal structure of MnGaOsO6.

a b c (Å): 5.104 5.104 9.142
angles (deg): 90.00 90.00 120.00
Positions (direct):
Mn 0.000 0.000 0.000
Mn 0.000 0.000 0.500
Ga 0.333 0.667 0.250
Ga 0.667 0.333 0.750
Os 0.333 0.667 0.750
Os 0.667 0.333 0.250
O 0.013 0.363 0.635
O 0.013 0.651 0.865
O 0.349 0.363 0.865
O 0.349 0.987 0.635
O 0.363 0.013 0.135
O 0.363 0.349 0.365
O 0.637 0.651 0.635
O 0.637 0.987 0.865
O 0.651 0.013 0.365
O 0.651 0.637 0.135
O 0.987 0.349 0.135
O 0.987 0.637 0.365

Summary:
N(E_F), states/eV per cell: 6.480
Size of the total moment, μB/f.u.: 4.18
Final energy, eV/atom: -7.02
SG: P-31c (163)

---

[4]
VASP calculation (GGA+U) on an optimized crystal structure of PaMn2GaO8.

a b c (Å): 5.793 5.793 5.793
angles (deg): 109.35 109.35 109.71
Positions (direct):
Pa 0.000 0.000 0.000
Mn 0.500 0.500 0.000
Mn 0.750 0.250 0.500
Ga 0.250 0.750 0.500
O 0.303 0.111 0.808
O 0.303 0.495 0.192
O 0.372 0.053 0.320
O 0.505 0.697 0.808
O 0.733 0.053 0.680
O 0.889 0.697 0.192
O 0.947 0.267 0.320
O 0.947 0.628 0.680

Summary:
N(E_F), states/eV per cell: 0.092
Size of the total moment, μB/f.u.: 6.00
Final energy, eV/atom: -7.38
SG: I-4m2 (119)

---

[5]
VASP calculation (GGA+U) on an optimized crystal structure of PaMn2GaO6.

a b c (Å): 5.522 5.522 4.724
angles (deg): 90.00 90.00 90.00
Positions (direct):
Pa 0.000 0.000 0.000
Mn 0.000 0.500 0.367
Mn 0.500 0.000 0.367
Ga 0.500 0.500 0.991
O 0.000 0.000 0.550
O 0.261 0.261 0.130
O 0.261 0.739 0.130
O 0.500 0.500 0.608
O 0.739 0.261 0.130
O 0.739 0.739 0.130

Summary:
Size of the total moment, μB/f.u.: 9.98
Final energy, eV/atom: -7.75
SG: P4mm (99)

---

[6]
VASP calculation (GGA+U) on an optimized crystal structure of PaMnGaO5.

a b c (Å): 5.676 5.676 6.919
angles (deg): 94.35 94.35 116.26
Positions (direct):
Pa 0.161 0.839 0.750
Pa 0.839 0.161 0.250
Mn 0.183 0.817 0.250
Mn 0.817 0.183 0.750
Ga 0.500 0.500 0.000
Ga 0.500 0.500 0.500
O 0.071 0.260 0.000
O 0.177 0.499 0.381
O 0.260 0.071 0.500
O 0.397 0.603 0.750
O 0.499 0.177 0.881
O 0.501 0.823 0.119
O 0.603 0.397 0.250
O 0.740 0.929 0.500
O 0.823 0.501 0.619
O 0.929 0.740 0.000

Summary:
N(E_F), states/eV per cell: 0.000
Size of the total moment, μB/f.u.: 5.00
Final energy, eV/atom: -7.93
SG: C2/c (15)

---

[7]
VASP calculation (GGA+U) on an optimized crystal structure of MnGaPb2O6.

a b c (Å): 5.529 5.529 5.529
angles (deg): 60.51 60.51 60.51
Positions (direct):
Mn 0.000 0.000 0.000
Ga 0.498 0.498 0.498
Pb 0.240 0.240 0.240
Pb 0.740 0.740 0.740
O 0.182 0.313 0.767
O 0.255 0.819 0.693
O 0.313 0.767 0.182
O 0.693 0.255 0.819
O 0.767 0.182 0.313
O 0.819 0.693 0.255

Summary:
N(E_F), states/eV per cell: 4.874
Size of the total moment, μB/f.u.: 2.31
Final energy, eV/atom: -5.99
SG: R3 (146)

---

[8]
VASP calculation (GGA+U) on an optimized crystal structure of MnGaPbO6.

a b c (Å): 4.714 4.714 9.437
angles (deg): 90.00 90.00 90.00
Positions (direct):
Mn 0.000 0.000 0.000
Mn 0.500 0.500 0.500
Ga 0.000 0.000 0.330
Ga 0.500 0.500 0.830
Pb 0.000 0.000 0.666
Pb 0.500 0.500 0.166
O 0.177 0.177 0.162
O 0.200 0.200 0.851
O 0.209 0.209 0.485
O 0.291 0.709 0.985
O 0.300 0.700 0.351
O 0.323 0.677 0.662
O 0.677 0.323 0.662
O 0.700 0.300 0.351
O 0.709 0.291 0.985
O 0.791 0.791 0.485
O 0.800 0.800 0.851
O 0.823 0.823 0.162

Summary:
N(E_F), states/eV per cell: 10.065
Size of the total moment, μB/f.u.: 1.99
Final energy, eV/atom: -5.96
SG: P4_2nm (102)